Compound: AlCdH2
Source: the Alexandria database
Functional: PBE-GGA
Structure: relaxed

Unit cell a=5.7760 b=5.7760 c=5.7760 alpha=128.08 beta=128.08 gamma=76.50
With the nearest neighbours (Å) after each atom.
Fractional positions:
Al (0.0000, 0.0000, 0.0000)  4 H 1.75
Al (0.7500, 0.2500, 0.5000)  4 H 1.75
Cd (0.2500, 0.7500, 0.5000)  4 H 2.72
Cd (0.5000, 0.5000, 0.0000)  4 H 2.72
H (0.3750, 0.2049, 0.3299)  2 Al 1.75
H (0.7951, 0.1250, 0.1701)  2 Al 1.75
H (0.8750, 0.0451, 0.6701)  2 Al 1.75
H (0.9549, 0.6250, 0.8299)  2 Al 1.75

* E_tot: -2.511 eV per atom
* SG: I-42d
* total moment: 0.0 μB per formula unit
* crystal system: tetragonal